1.
Material: HfCd2TcHg
Method: DFT, PBEsol
State: relaxed

**ΔE_f**: 1.802 eV/atom
**Density of states at the Fermi level**: 5.819 states/eV/cell
**Total magnetic moment**: 0.56 μB/atom

abc: 5.223 5.321 5.321
angles: 90.00 90.00 90.00
Each line ends with the local moment (μB).
Sites, in units of the cell vectors:
1 Tc 0.500 0.500 0.500  3.62
2 Hf 0.000 0.000 0.000  -0.55
3 Hg 0.500 0.000 0.000  -0.07
4 Cd 0.000 0.000 0.500  -0.06
5 Cd 0.000 0.500 0.000  -0.06

=====

2.
Material: KTe2Au
Method: DFT, PBEsol
State: relaxed

**Uncorrected formation energy**: -0.27 eV/atom
**Density of states at the Fermi level**: 1.333 states/eV/cell
**Total magnetic moment**: 0.00 μB/atom

abc: 3.201 6.262 7.024
angles: 102.32 103.17 90.00
Sites, in units of the cell vectors:
1 Au 0.562 0.418 0.124
2 K 0.255 0.252 0.510
3 Te 0.960 0.093 0.920
4 Te 0.723 0.737 0.445